## P
# BaCrMo | Alexandria | PBE-GGA | relaxed
data_BaCrMo
_symmetry_space_group_name_H-M 'P 1'
_symmetry_Int_Tables_number 1
_cell_length_a 6.7877
_cell_length_b 6.7863
_cell_length_c 6.7863
_cell_angle_alpha 151.48
_cell_angle_beta 151.49
_cell_angle_gamma 40.76
loop_
_symmetry_equiv_pos_as_xyz
'x,y,z'
loop_
_atom_site_label
_atom_site_fract_x
_atom_site_fract_y
_atom_site_fract_z
Ba1 0.0004 0.0004 0.0000
Cr1 0.7178 0.7178 0.0000
Mo1 0.2818 0.2818 0.0000
# Total moment = 1.40 μB/cell

## Q
# BaCrMo | Alexandria | PBE-GGA | relaxed
data_BaCrMo
_symmetry_space_group_name_H-M 'P 1'
_symmetry_Int_Tables_number 1
_cell_length_a 4.0369
_cell_length_b 4.0369
_cell_length_c 5.6059
_cell_angle_alpha 90.00
_cell_angle_beta 90.00
_cell_angle_gamma 120.00
loop_
_symmetry_equiv_pos_as_xyz
'x,y,z'
loop_
_atom_site_label
_atom_site_fract_x
_atom_site_fract_y
_atom_site_fract_z
Ba1 0.0000 0.0000 0.0000
Cr1 0.6667 0.3333 0.5000
Mo1 0.3333 0.6667 0.5000
# Total moment = 0.81 μB/cell

## R
# BaCrMo | Alexandria | PBE-GGA | relaxed
data_BaCrMo
_symmetry_space_group_name_H-M 'P 1'
_symmetry_Int_Tables_number 1
_cell_length_a 4.8167
_cell_length_b 4.8167
_cell_length_c 4.8167
_cell_angle_alpha 60.00
_cell_angle_beta 60.00
_cell_angle_gamma 60.00
loop_
_symmetry_equiv_pos_as_xyz
'x,y,z'
loop_
_atom_site_label
_atom_site_fract_x
_atom_site_fract_y
_atom_site_fract_z
Ba1 0.0000 0.0000 0.0000
Cr1 0.5000 0.5000 0.5000
Mo1 0.7500 0.7500 0.7500
# Total moment = 1.95 μB/cell

## S
# BaCrMo | Alexandria | PBE-GGA | relaxed
data_BaCrMo
_symmetry_space_group_name_H-M 'P 1'
_symmetry_Int_Tables_number 1
_cell_length_a 7.9491
_cell_length_b 7.6996
_cell_length_c 3.1013
_cell_angle_alpha 83.13
_cell_angle_beta 74.08
_cell_angle_gamma 22.79
loop_
_symmetry_equiv_pos_as_xyz
'x,y,z'
loop_
_atom_site_label
_atom_site_fract_x
_atom_site_fract_y
_atom_site_fract_z
Ba1 0.9963 0.9963 0.0037
Cr1 0.3041 0.3041 0.6959
Mo1 0.6996 0.6996 0.3004
# Total moment = 0.00 μB/cell

Referenced to the most stable arrangement, the calculated values in meV per atom are P 0; Q 136; R 624; S 245.

## P
# BaCrMo | Alexandria | PBE-GGA | relaxed
data_BaCrMo
_symmetry_space_group_name_H-M 'P 1'
_symmetry_Int_Tables_number 1
_cell_length_a 4.9944
_cell_length_b 4.9944
_cell_length_c 4.9944
_cell_angle_alpha 60.00
_cell_angle_beta 60.00
_cell_angle_gamma 60.00
loop_
_symmetry_equiv_pos_as_xyz
'x,y,z'
loop_
_atom_site_label
_atom_site_fract_x
_atom_site_fract_y
_atom_site_fract_z
Ba1 0.7500 0.7500 0.7500
Cr1 0.0000 0.0000 0.0000
Mo1 0.5000 0.5000 0.5000
# Total moment = 6.88 μB/cell

## Q
# BaCrMo | Alexandria | PBE-GGA | relaxed
data_BaCrMo
_symmetry_space_group_name_H-M 'P 1'
_symmetry_Int_Tables_number 1
_cell_length_a 3.2649
_cell_length_b 3.2649
_cell_length_c 7.3757
_cell_angle_alpha 90.00
_cell_angle_beta 90.00
_cell_angle_gamma 120.00
loop_
_symmetry_equiv_pos_as_xyz
'x,y,z'
loop_
_atom_site_label
_atom_site_fract_x
_atom_site_fract_y
_atom_site_fract_z
Ba1 0.0000 0.0000 0.0058
Cr1 0.6667 0.3333 0.3986
Mo1 0.3333 0.6667 0.5957
# Total moment = 0.00 μB/cell

Referenced to the most stable arrangement, the calculated values in meV per atom are P 1247; Q 0.

## P
# BaCr3Mo | Alexandria | PBE-GGA | relaxed
data_BaCr3Mo
_symmetry_space_group_name_H-M 'P 1'
_symmetry_Int_Tables_number 1
_cell_length_a 4.8998
_cell_length_b 4.8998
_cell_length_c 4.8998
_cell_angle_alpha 90.00
_cell_angle_beta 90.00
_cell_angle_gamma 90.00
loop_
_symmetry_equiv_pos_as_xyz
'x,y,z'
loop_
_atom_site_label
_atom_site_fract_x
_atom_site_fract_y
_atom_site_fract_z
Cr1 0.0000 0.5000 0.0000
Cr2 0.0000 0.0000 0.5000
Cr3 0.5000 0.0000 0.0000
Mo1 0.0000 0.0000 0.0000
Ba1 0.5000 0.5000 0.5000
# Total moment = 8.09 μB/cell

## Q
# BaCr3Mo | Alexandria | PBE-GGA | relaxed
data_BaCr3Mo
_symmetry_space_group_name_H-M 'P 1'
_symmetry_Int_Tables_number 1
_cell_length_a 4.9320
_cell_length_b 4.9320
_cell_length_c 4.9320
_cell_angle_alpha 90.00
_cell_angle_beta 90.00
_cell_angle_gamma 90.00
loop_
_symmetry_equiv_pos_as_xyz
'x,y,z'
loop_
_atom_site_label
_atom_site_fract_x
_atom_site_fract_y
_atom_site_fract_z
Cr1 0.0000 0.5000 0.0000
Cr2 0.0000 0.0000 0.5000
Cr3 0.5000 0.0000 0.0000
Mo1 0.5000 0.5000 0.5000
Ba1 0.0000 0.0000 0.0000
# Total moment = 6.04 μB/cell

Referenced to the most stable arrangement, the calculated values in meV per atom are P 0; Q 1704.